No. 1
Mo5W3 | PBE | relaxed

abc: 5.4971 5.4971 5.4971
angles: 109.47 109.47 109.47
Sites, in units of the cell vectors:
1 Mo 0.5000 0.0000 0.0000
2 Mo 0.0000 0.0000 0.0000
3 Mo 0.0000 0.5000 0.0000
4 Mo 0.0000 0.0000 0.5000
5 W 0.5000 0.5000 0.0000
6 Mo 0.5000 0.5000 0.5000
7 W 0.5000 0.0000 0.5000
8 W 0.0000 0.5000 0.5000

Values from the calculation:
The calculation puts the formation enthalpy at 0 K at 0 kJ/mol of atoms. The energy relative to the lowest polymorph listed for this composition comes out at 1.2 kJ per mole of atoms. For the total energy, the calculation gives -0.855 Ry per atom. The calculation puts the total magnetization at 0.0 μB/f.u. Its crystal system is cubic. As for the symmetry: No. 229. The density of states at the Fermi level comes out at 1.04 states/eV per atom.


No. 2
SmDy3Pd12 | PBE | relaxed

abc: 4.1275 4.1275 16.6079
angles: 90.00 90.00 90.00
Sites, in units of the cell vectors:
1 Pd 0.0000 0.5000 0.3758
2 Sm 0.0000 0.0000 0.0000
3 Pd 0.5000 0.5000 0.5000
4 Dy 0.0000 0.0000 0.7480
5 Pd 0.5000 0.0000 0.1277
6 Pd 0.0000 0.5000 0.6242
7 Pd 0.5000 0.0000 0.6242
8 Pd 0.5000 0.0000 0.3758
9 Pd 0.5000 0.0000 0.8723
10 Pd 0.5000 0.5000 0.0000
11 Dy 0.0000 0.0000 0.2520
12 Pd 0.5000 0.5000 0.7485
13 Dy 0.0000 0.0000 0.5000
14 Pd 0.5000 0.5000 0.2515
15 Pd 0.0000 0.5000 0.8723
16 Pd 0.0000 0.5000 0.1277

Values from the calculation:
The calculation puts the formation enthalpy at 0 K at -83 kJ/mol of atoms. For the total energy, the calculation gives -0.435 Ry per atom. The calculation puts the total magnetization at 0.0 μB/f.u. Its crystal system is tetragonal. As for the symmetry: No. 123. The density of states at the Fermi level comes out at 0.72 states/eV per atom.


No. 3
PaP3Ru3 | PBE | relaxed

abc: 6.7211 6.7211 7.4509
angles: 63.19 63.19 60.00
Sites, in units of the cell vectors:
1 P 0.3963 0.0922 0.7353
2 Ru 0.8852 0.5320 0.3567
3 Ru 0.7739 0.1148 0.6433
4 P 0.6037 0.9078 0.2647
5 P 0.0922 0.7762 0.7353
6 Ru 0.5320 0.2261 0.3567
7 Ru 0.4680 0.7739 0.6433
8 P 0.7762 0.3963 0.7353
9 Pa 0.6678 0.6678 0.9965
10 Pa 0.3322 0.3322 0.0035
11 Ru 0.2261 0.8852 0.3567
12 P 0.9078 0.2238 0.2647
13 Ru 0.1148 0.4680 0.6433
14 P 0.2238 0.6037 0.2647

Values from the calculation:
The calculation puts the formation enthalpy at 0 K at -64 kJ/mol of atoms. For the total energy, the calculation gives -0.611 Ry per atom. The calculation puts the total magnetization at 0.0 μB/f.u. Its crystal system is trigonal. As for the symmetry: No. 148. The density of states at the Fermi level comes out at 1.03 states/eV per atom.


No. 4
Pr2AlRu | PBE | relaxed

abc: 4.5927 4.5927 7.2610
angles: 72.24 72.24 50.87
Sites, in units of the cell vectors:
1 Ru 0.4880 0.4880 0.6282
2 Pr 0.1894 0.1894 0.3459
3 Pr 0.0241 0.0241 0.9031
4 Al 0.7985 0.7985 0.6228

Values from the calculation:
The calculation puts the formation enthalpy at 0 K at -28 kJ/mol of atoms. For the total energy, the calculation gives -0.436 Ry per atom. The calculation puts the total magnetization at 0.0 μB/f.u. Its crystal system is monoclinic. As for the symmetry: No. 8. The density of states at the Fermi level comes out at 0.85 states/eV per atom.


No. 5
AgAs2 | PBE | relaxed

abc: 7.8137 7.8137 3.6578
angles: 90.00 90.00 120.00
Sites, in units of the cell vectors:
1 As 0.0000 0.5192 0.5000
2 As 0.2933 0.0000 0.0000
3 Ag 0.0000 0.0000 0.5000
4 As 0.5192 0.0000 0.5000
5 Ag 0.3333 0.6667 0.0000
6 As 0.4808 0.4808 0.5000
7 As 0.7067 0.7067 0.0000
8 Ag 0.6667 0.3333 0.0000
9 As 0.0000 0.2933 0.0000

Values from the calculation:
The calculation puts the formation enthalpy at 0 K at 24 kJ/mol of atoms. For the total energy, the calculation gives -0.279 Ry per atom. The calculation puts the total magnetization at 0.0 μB/f.u. Its crystal system is hexagonal. As for the symmetry: No. 189. The density of states at the Fermi level comes out at 0.41 states/eV per atom.


No. 6
CaPm3Ga2 | PBE | relaxed

abc: 5.2374 11.0853 7.9019
angles: 128.18 90.00 103.66
Sites, in units of the cell vectors:
1 Ca 0.8386 0.6773 0.9577
2 Ga 0.4700 0.9401 0.1105
3 Pm 0.6249 0.2499 0.7117
4 Ga 0.2139 0.4278 0.7476
5 Ga 0.5300 0.0599 0.8895
6 Pm 0.3751 0.7501 0.2883
7 Ca 0.1614 0.3227 0.0423
8 Pm 0.0526 0.1052 0.2934
9 Pm 0.3237 0.6473 0.6417
10 Ga 0.7861 0.5722 0.2524
11 Pm 0.9474 0.8948 0.7066
12 Pm 0.6763 0.3527 0.3583

Values from the calculation:
The calculation puts the formation enthalpy at 0 K at -33 kJ/mol of atoms. The energy relative to the lowest polymorph listed for this composition comes out at 5.6 kJ per mole of atoms. For the total energy, the calculation gives -0.298 Ry per atom. The calculation puts the total magnetization at 0.0 μB/f.u. Its crystal system is monoclinic. As for the symmetry: No. 12. The density of states at the Fermi level comes out at 0.79 states/eV per atom.